CeNiF6: relaxed, GGA+U.

Cell lengths 5.2348, 5.2348, 5.0299 Å; angles 90.00, 90.00, 120.00 degrees
With the nearest neighbours (Å) after each atom.
Space group P312 (No. 149)
One atom of each set of equivalent atoms:
Ce  0.0000  0.0000  0.0000 (multiplicity 1)  6 F 2.18
Ni  0.6667  0.3333  0.5000 (multiplicity 1)  6 F 2.02
F  0.3495  0.0318  0.7408 (multiplicity 6)  1 Ni 2.02, 1 Ce 2.18

Calculated values
M_tot (Bohr magnetons per cell): 1.9
E_tot (eV/atom): -5.590
V (Å³/cell): 119.37